Entry 1:
{"formula": "ZnIn2Tc", "functional": "meta-GGA SCAN", "state": "PBEsol geometry", "space_group": "P4/mmm, No. 123", "formation_enthalpy_0k_mev_per_atom": 350, "dos_ef_per_ev_cell": 2.3, "lattice": [[2.939, 0.000, 0.000], [0.000, 2.939, 0.000], [0.000, 0.000, 8.392]], "species": ["Zn", "In", "In", "Tc"], "fractional_positions": [[0.000, 0.000, 0.000], [0.500, 0.500, 0.267], [0.500, 0.500, 0.733], [0.000, 0.000, 0.500]]}

***

Entry 2:
{"formula": "ZnIn2Tc", "functional": "meta-GGA SCAN", "state": "PBEsol geometry", "space_group": "I4/mmm, No. 139", "formation_enthalpy_0k_mev_per_atom": 129, "dos_ef_per_ev_cell": 0.8, "lattice": [[-2.006, 2.006, 4.258], [2.006, -2.006, 4.258], [2.006, 2.006, -4.258]], "species": ["Zn", "In", "In", "Tc"], "fractional_positions": [[0.000, 0.000, 0.000], [0.250, 0.750, 0.500], [0.750, 0.250, 0.500], [0.500, 0.500, 0.000]]}

***

Entry 3:
{"formula": "ZnIn2Tc", "functional": "meta-GGA SCAN", "state": "PBEsol geometry", "space_group": "F-43m, No. 216", "formation_enthalpy_0k_mev_per_atom": 558, "dos_ef_per_ev_cell": 2.3, "lattice": [[0.000, 3.266, 3.266], [3.266, 0.000, 3.266], [3.266, 3.266, 0.000]], "species": ["Zn", "In", "In", "Tc"], "fractional_positions": [[0.000, 0.000, 0.000], [0.250, 0.250, 0.250], [0.500, 0.500, 0.500], [0.750, 0.750, 0.750]]}

***

Entry 4:
{"formula": "ZrInTc", "functional": "meta-GGA SCAN", "state": "PBEsol geometry", "de_polymorph_mev_per_atom": 990, "space_group": "F-43m, No. 216", "formation_enthalpy_0k_mev_per_atom": 662, "dos_ef_per_ev_cell": 1.6, "lattice": [[0.000, 3.210, 3.210], [3.210, 0.000, 3.210], [3.210, 3.210, 0.000]], "species": ["Zr", "In", "Tc"], "fractional_positions": [[0.000, 0.000, 0.000], [0.750, 0.750, 0.750], [0.250, 0.250, 0.250]]}

***

Entry 5:
{"formula": "ZrInTc4", "functional": "meta-GGA SCAN", "state": "PBEsol geometry", "space_group": "F-43m, No. 216", "formation_enthalpy_0k_mev_per_atom": -156, "dos_ef_per_ev_cell": 5.1, "lattice": [[0.000, 3.661, 3.661], [3.661, 0.000, 3.661], [3.661, 3.661, 0.000]], "species": ["Zr", "In", "Tc", "Tc", "Tc", "Tc"], "fractional_positions": [[0.000, 0.000, 0.000], [0.250, 0.250, 0.250], [0.127, 0.624, 0.624], [0.624, 0.127, 0.624], [0.624, 0.624, 0.127], [0.624, 0.624, 0.624]]}

***

Entry 6:
{"formula": "ZrInTc", "functional": "meta-GGA SCAN", "state": "PBEsol geometry", "de_polymorph_mev_per_atom": 0, "space_group": "I4mm, No. 107", "formation_enthalpy_0k_mev_per_atom": -328, "lattice": [[-1.715, 1.715, 4.698], [1.715, -1.715, 4.698], [1.715, 1.715, -4.698]], "species": ["Zr", "In", "Tc"], "fractional_positions": [[0.000, 0.000, 0.000], [0.690, 0.690, 0.000], [0.359, 0.359, 0.000]]}

***

Entry 7:
{"formula": "Zr3InTc", "functional": "meta-GGA SCAN", "state": "PBEsol geometry", "space_group": "Pm-3m, No. 221", "formation_enthalpy_0k_mev_per_atom": 192, "dos_ef_per_ev_cell": 6.7, "lattice": [[4.940, 0.000, 0.000], [0.000, 4.940, 0.000], [0.000, 0.000, 4.940]], "species": ["Zr", "Zr", "Zr", "In", "Tc"], "fractional_positions": [[0.000, 0.000, 0.500], [0.000, 0.500, 0.000], [0.500, 0.000, 0.000], [0.500, 0.500, 0.500], [0.000, 0.000, 0.000]]}

***

Entry 8:
{"formula": "ZrInTc", "functional": "meta-GGA SCAN", "state": "PBEsol geometry", "de_polymorph_mev_per_atom": 189, "space_group": "P3m1, No. 156", "formation_enthalpy_0k_mev_per_atom": -139, "dos_ef_per_ev_cell": 0.9, "lattice": [[4.656, 0.000, 0.000], [-2.328, 4.032, 0.000], [0.000, 0.000, 2.914]], "species": ["Zr", "In", "Tc"], "fractional_positions": [[0.000, 0.000, 0.000], [0.667, 0.333, 0.572], [0.333, 0.667, 0.256]]}

***

Entry 9:
{"formula": "In3Te2", "functional": "meta-GGA SCAN", "state": "PBEsol geometry", "space_group": "R-3m, No. 166", "raw_formation_energy_mev_per_atom": -260.2, "dos_ef_per_ev_cell": 1.9, "lattice": [[2.154, 1.243, 9.172], [-2.154, 1.243, 9.172], [0.000, -2.487, 9.172]], "species": ["In", "In", "In", "Te", "Te"], "fractional_positions": [[0.000, 0.000, 0.000], [0.201, 0.201, 0.201], [0.799, 0.799, 0.799], [0.403, 0.403, 0.403], [0.597, 0.597, 0.597]]}

***

Entry 10:
{"formula": "In2Te", "functional": "meta-GGA SCAN", "state": "PBEsol geometry", "space_group": "Cmcm, No. 63", "raw_formation_energy_mev_per_atom": -185.8, "dos_ef_per_ev_cell": 2.5, "lattice": [[2.167, -6.458, 0.000], [2.167, 6.458, 0.000], [0.000, 0.000, 6.254]], "species": ["In", "In", "In", "In", "Te", "Te"], "fractional_positions": [[0.011, 0.989, 0.750], [0.343, 0.657, 0.750], [0.657, 0.343, 0.250], [0.989, 0.011, 0.250], [0.325, 0.675, 0.250], [0.675, 0.325, 0.750]]}

***

Entry 11:
{"formula": "InTe2", "functional": "meta-GGA SCAN", "state": "PBEsol geometry", "de_polymorph_mev_per_atom": 18, "space_group": "C2/m, No. 12", "raw_formation_energy_mev_per_atom": -182.1, "dos_ef_per_ev_cell": 1.7, "lattice": [[3.804, -2.168, 0.000], [3.804, 2.168, 0.000], [-0.233, 0.000, 10.907]], "species": ["In", "In", "Te", "Te", "Te", "Te"], "fractional_positions": [[0.022, 0.022, 0.246], [0.978, 0.978, 0.754], [0.304, 0.304, 0.899], [0.371, 0.371, 0.401], [0.629, 0.629, 0.599], [0.696, 0.696, 0.101]]}

***

Entry 12:
{"formula": "InTe3", "functional": "meta-GGA SCAN", "state": "PBEsol geometry", "space_group": "Pmm2, No. 25", "raw_formation_energy_mev_per_atom": 4.5, "dos_ef_per_ev_cell": 1.5, "lattice": [[4.123, 0.000, 0.000], [0.000, 4.146, 0.000], [0.000, 0.000, 7.057]], "species": ["In", "Te", "Te", "Te"], "fractional_positions": [[0.000, 0.000, 0.000], [0.000, 0.500, 0.519], [0.500, 0.000, 0.648], [0.500, 0.500, 0.131]]}

***

Entry 13:
{"formula": "In2Te", "functional": "meta-GGA SCAN", "state": "PBEsol geometry", "space_group": "P-3m1, No. 164", "raw_formation_energy_mev_per_atom": -204.3, "dos_ef_per_ev_cell": 0.9, "lattice": [[4.263, 0.000, 0.000], [-2.132, 3.692, 0.000], [0.000, 0.000, 5.573]], "species": ["In", "In", "Te"], "fractional_positions": [[0.333, 0.667, 0.331], [0.667, 0.333, 0.669], [0.000, 0.000, 0.000]]}

***

Entry 14:
{"formula": "In2Te", "functional": "meta-GGA SCAN", "state": "PBEsol geometry", "space_group": "P6_3/mmc, No. 194", "raw_formation_energy_mev_per_atom": -43.0, "dos_ef_per_ev_cell": 2.7, "lattice": [[5.489, 0.000, 0.000], [-2.744, 4.753, 0.000], [0.000, 0.000, 6.439]], "species": ["In", "In", "In", "In", "Te", "Te"], "fractional_positions": [[0.000, 0.000, 0.000], [0.000, 0.000, 0.500], [0.333, 0.667, 0.250], [0.667, 0.333, 0.750], [0.333, 0.667, 0.750], [0.667, 0.333, 0.250]]}

***

Entry 15:
{"formula": "InTe2", "functional": "meta-GGA SCAN", "state": "PBEsol geometry", "de_polymorph_mev_per_atom": 302, "space_group": "I4/mmm, No. 139", "raw_formation_energy_mev_per_atom": 102.0, "dos_ef_per_ev_cell": 2.0, "lattice": [[-1.868, 1.868, 5.723], [1.868, -1.868, 5.723], [1.868, 1.868, -5.723]], "species": ["In", "Te", "Te"], "fractional_positions": [[0.000, 0.000, 0.000], [0.342, 0.342, 0.000], [0.658, 0.658, 0.000]]}

***

Entry 16:
{"formula": "InTe3", "functional": "meta-GGA SCAN", "state": "PBEsol geometry", "space_group": "Pmmn, No. 59", "raw_formation_energy_mev_per_atom": 35.6, "dos_ef_per_ev_cell": 4.6, "lattice": [[4.527, 0.000, 0.000], [0.000, 6.334, 0.000], [0.000, 0.000, 8.068]], "species": ["In", "In", "Te", "Te", "Te", "Te", "Te", "Te"], "fractional_positions": [[0.250, 0.250, 0.123], [0.750, 0.750, 0.877], [0.250, 0.501, 0.624], [0.250, 0.750, 0.118], [0.250, 0.999, 0.624], [0.750, 0.001, 0.376], [0.750, 0.250, 0.882], [0.750, 0.499, 0.376]]}

***

Entry 17:
{"formula": "InTe2", "functional": "meta-GGA SCAN", "state": "PBEsol geometry", "de_polymorph_mev_per_atom": 0, "space_group": "Cmcm, No. 63", "raw_formation_energy_mev_per_atom": -200.5, "dos_ef_per_ev_cell": 2.6, "lattice": [[2.154, -6.712, 0.000], [2.154, 6.712, 0.000], [0.000, 0.000, 6.132]], "species": ["In", "In", "Te", "Te", "Te", "Te"], "fractional_positions": [[0.165, 0.835, 0.750], [0.835, 0.165, 0.250], [0.184, 0.816, 0.250], [0.491, 0.509, 0.250], [0.509, 0.491, 0.750], [0.816, 0.184, 0.750]]}

***

Entry 18:
{"formula": "In2Te", "functional": "meta-GGA SCAN", "state": "PBEsol geometry", "space_group": "Fm-3m, No. 225", "raw_formation_energy_mev_per_atom": 25.5, "dos_ef_per_ev_cell": 0.2, "lattice": [[0.000, 3.737, 3.737], [3.737, 0.000, 3.737], [3.737, 3.737, 0.000]], "species": ["In", "In", "Te"], "fractional_positions": [[0.250, 0.250, 0.250], [0.750, 0.750, 0.750], [0.000, 0.000, 0.000]]}

***

Entry 19:
{"formula": "Ti3InTe", "functional": "meta-GGA SCAN", "state": "PBEsol geometry", "de_polymorph_mev_per_atom": 0, "space_group": "Pm-3m, No. 221", "raw_formation_energy_mev_per_atom": 502.4, "dos_ef_per_ev_cell": 6.1, "lattice": [[4.925, 0.000, 0.000], [0.000, 4.925, 0.000], [0.000, 0.000, 4.925]], "species": ["Ti", "Ti", "Ti", "In", "Te"], "fractional_positions": [[0.000, 0.000, 0.500], [0.000, 0.500, 0.000], [0.500, 0.000, 0.000], [0.500, 0.500, 0.500], [0.000, 0.000, 0.000]]}

***

Entry 20:
{"formula": "ZrTiInTe2", "functional": "meta-GGA SCAN", "state": "PBEsol geometry", "space_group": "P4/mmm, No. 123", "raw_formation_energy_mev_per_atom": 894.3, "dos_ef_per_ev_cell": 3.4, "lattice": [[5.433, 0.000, 0.000], [0.000, 5.433, 0.000], [0.000, 0.000, 4.951]], "species": ["Zr", "Ti", "In", "Te", "Te"], "fractional_positions": [[0.000, 0.000, 0.000], [0.500, 0.500, 0.000], [0.500, 0.500, 0.500], [0.000, 0.500, 0.500], [0.500, 0.000, 0.500]]}

***

Entry 21:
{"formula": "TlInTe", "functional": "meta-GGA SCAN", "state": "PBEsol geometry", "de_polymorph_mev_per_atom": 0, "space_group": "P3m1, No. 156", "raw_formation_energy_mev_per_atom": -232.8, "dos_ef_per_ev_cell": 0.6, "lattice": [[4.478, 0.000, 0.000], [-2.239, 3.878, 0.000], [0.000, 0.000, 5.422]], "species": ["Tl", "In", "Te"], "fractional_positions": [[0.000, 0.000, 0.000], [0.333, 0.667, 0.650], [0.667, 0.333, 0.355]]}

***

Entry 22:
{"formula": "Tl2InTe", "functional": "meta-GGA SCAN", "state": "PBEsol geometry", "de_polymorph_mev_per_atom": 8, "space_group": "Cm, No. 8", "raw_formation_energy_mev_per_atom": -122.5, "dos_ef_per_ev_cell": 0.9, "lattice": [[5.855, -2.067, 0.000], [5.855, 2.067, 0.000], [-2.330, 0.000, 4.818]], "species": ["Tl", "Tl", "In", "Te"], "fractional_positions": [[0.000, 0.000, 0.000], [0.233, 0.233, 0.725], [0.755, 0.755, 0.240], [0.472, 0.472, 0.474]]}

***

Entry 23:
{"formula": "TlInTe", "functional": "meta-GGA SCAN", "state": "PBEsol geometry", "de_polymorph_mev_per_atom": 101, "space_group": "I4mm, No. 107", "raw_formation_energy_mev_per_atom": -131.6, "dos_ef_per_ev_cell": 1.2, "lattice": [[-1.941, 1.941, 5.783], [1.941, -1.941, 5.783], [1.941, 1.941, -5.783]], "species": ["Tl", "In", "Te"], "fractional_positions": [[0.000, 0.000, 0.000], [0.689, 0.689, 0.000], [0.321, 0.321, 0.000]]}

***

Entry 24:
{"formula": "TlIn2Te", "functional": "meta-GGA SCAN", "state": "PBEsol geometry", "de_polymorph_mev_per_atom": 71, "space_group": "I-4m2, No. 119", "raw_formation_energy_mev_per_atom": -47.5, "dos_ef_per_ev_cell": 1.1, "lattice": [[-2.321, 2.321, 5.228], [2.321, -2.321, 5.228], [2.321, 2.321, -5.228]], "species": ["Tl", "In", "In", "Te"], "fractional_positions": [[0.000, 0.000, 0.000], [0.500, 0.500, 0.000], [0.750, 0.250, 0.500], [0.250, 0.750, 0.500]]}

***

Entry 25:
{"formula": "TlIn2Te", "functional": "meta-GGA SCAN", "state": "PBEsol geometry", "de_polymorph_mev_per_atom": 174, "space_group": "Fm-3m, No. 225", "raw_formation_energy_mev_per_atom": 55.3, "dos_ef_per_ev_cell": 2.7, "lattice": [[0.000, 3.815, 3.815], [3.815, 0.000, 3.815], [3.815, 3.815, 0.000]], "species": ["Tl", "In", "In", "Te"], "fractional_positions": [[0.000, 0.000, 0.000], [0.250, 0.250, 0.250], [0.750, 0.750, 0.750], [0.500, 0.500, 0.500]]}

***

Entry 26:
{"formula": "TlIn2Te", "functional": "meta-GGA SCAN", "state": "PBEsol geometry", "de_polymorph_mev_per_atom": 64, "space_group": "Pmmm, No. 47", "raw_formation_energy_mev_per_atom": -54.7, "dos_ef_per_ev_cell": 1.5, "lattice": [[4.763, 0.000, 0.000], [0.000, 4.824, 0.000], [0.000, 0.000, 4.952]], "species": ["Tl", "In", "In", "Te"], "fractional_positions": [[0.000, 0.000, 0.000], [0.000, 0.500, 0.500], [0.500, 0.000, 0.500], [0.500, 0.500, 0.000]]}

***

Entry 27:
{"formula": "Tl2InTe", "functional": "meta-GGA SCAN", "state": "PBEsol geometry", "de_polymorph_mev_per_atom": 0, "space_group": "P4mm, No. 99", "raw_formation_energy_mev_per_atom": -130.6, "dos_ef_per_ev_cell": 0.8, "lattice": [[4.037, 0.000, 0.000], [0.000, 4.037, 0.000], [0.000, 0.000, 7.056]], "species": ["Tl", "Tl", "In", "Te"], "fractional_positions": [[0.000, 0.000, 0.000], [0.500, 0.500, 0.266], [0.000, 0.000, 0.522], [0.500, 0.500, 0.736]]}

***

Entry 28:
{"formula": "Tl2InTe", "functional": "meta-GGA SCAN", "state": "PBEsol geometry", "de_polymorph_mev_per_atom": 70, "space_group": "R-3m, No. 166", "raw_formation_energy_mev_per_atom": -60.2, "dos_ef_per_ev_cell": 1.5, "lattice": [[2.139, 1.235, 7.736], [-2.139, 1.235, 7.736], [0.000, -2.469, 7.736]], "species": ["Tl", "Tl", "In", "Te"], "fractional_positions": [[0.249, 0.249, 0.249], [0.751, 0.751, 0.751], [0.000, 0.000, 0.000], [0.500, 0.500, 0.500]]}

***

Entry 29:
{"formula": "TlInTe", "functional": "meta-GGA SCAN", "state": "PBEsol geometry", "de_polymorph_mev_per_atom": 158, "space_group": "P3m1, No. 156", "raw_formation_energy_mev_per_atom": -74.3, "dos_ef_per_ev_cell": 1.2, "lattice": [[5.526, 0.000, 0.000], [-2.763, 4.786, 0.000], [0.000, 0.000, 3.208]], "species": ["Tl", "In", "Te"], "fractional_positions": [[0.000, 0.000, 0.000], [0.667, 0.333, 0.493], [0.333, 0.667, 0.512]]}

***

Entry 30:
{"formula": "TlIn2Te", "functional": "meta-GGA SCAN", "state": "PBEsol geometry", "de_polymorph_mev_per_atom": 0, "space_group": "R-3m, No. 166", "raw_formation_energy_mev_per_atom": -118.6, "dos_ef_per_ev_cell": 1.5, "lattice": [[2.061, 1.190, 7.958], [-2.061, 1.190, 7.958], [0.000, -2.380, 7.958]], "species": ["Tl", "In", "In", "Te"], "fractional_positions": [[0.000, 0.000, 0.000], [0.247, 0.247, 0.247], [0.753, 0.753, 0.753], [0.500, 0.500, 0.500]]}

***

| no. | total magnetic moment (μB per formula unit) |
| --- | --- |
| 1 | 1.516 |
| 2 | 0.906 |
| 3 | 0.000 |
| 4 | 0.000 |
| 5 | 0.000 |
| 6 | 0.000 |
| 7 | 0.000 |
| 8 | 0.000 |
| 9 | 0.000 |
| 10 | 0.000 |
| 11 | 0.000 |
| 12 | 0.000 |
| 13 | 0.000 |
| 14 | 0.000 |
| 15 | 0.000 |
| 16 | 0.000 |
| 17 | 0.000 |
| 18 | 0.000 |
| 19 | 3.671 |
| 20 | 0.686 |
| 21 | 0.000 |
| 22 | 0.000 |
| 23 | 0.000 |
| 24 | 0.000 |
| 25 | 0.000 |
| 26 | 0.000 |
| 27 | 0.000 |
| 28 | 0.000 |
| 29 | 0.000 |
| 30 | 0.000 |